Entry from Alexandria via LeMat-Bulk: a relaxed structure of ErMnIrO6 (PBE with a Hubbard U).

The structure in extended XYZ format:
```
18
Lattice="5.384 0.000 0.000 -2.692 4.662 0.000 0.000 0.000 8.808" Properties=species:S:1:pos:R:3 pbc="T T T"
O -1.605 3.152 7.699
O 3.457 2.966 3.295
O 1.605 3.152 5.514
O 3.532 0.186 3.295
O 1.927 2.966 1.109
O 1.852 0.186 1.109
O 1.087 1.511 3.295
O -0.765 1.697 5.514
O 0.840 4.477 7.699
O 4.297 1.511 1.109
O -0.840 4.477 5.514
O 0.765 1.697 7.699
Ir 2.692 1.554 2.202
Ir 0.000 3.108 6.606
Mn 0.000 0.000 0.000
Mn 0.000 0.000 4.404
Er 2.692 1.554 6.606
Er 0.000 3.108 2.202
```

Values from the calculation:
Its space-group type is P-31c. For the total energy, the calculation gives -7.213 eV per atom.